# 1
Na4Tm3AsO8 (PBE-GGA, relaxed); space-group type = No. 166
1.0
6.664 0.000 0.000
0.000 6.755 0.058
-3.332 -3.328 4.715
Na Tm As O
4 3 1 8
direct
0.500 0.000 0.000
0.500 0.000 0.500
0.000 0.000 0.000
0.000 0.000 0.500
0.500 0.500 0.000
0.500 0.500 0.500
0.000 0.500 0.500
0.000 0.500 0.000
0.236 0.711 0.975
0.236 0.711 0.472
0.264 0.292 0.528
0.739 0.711 0.975
0.261 0.289 0.025
0.736 0.708 0.472
0.764 0.289 0.528
0.764 0.289 0.025


# 2
NaTmAsO4 (PBE-GGA, relaxed); space-group type = No. 74
1.0
6.417 0.000 0.000
3.209 5.543 -0.073
3.209 1.619 5.301
Na Tm As O
2 2 2 8
direct
0.500 0.000 0.500
0.000 0.000 0.500
0.000 0.000 0.000
0.000 0.500 0.500
0.626 0.624 0.124
0.374 0.376 0.876
0.744 0.724 0.788
0.256 0.712 0.776
0.744 0.288 0.224
0.256 0.276 0.212
0.239 0.743 0.243
0.775 0.743 0.243
0.225 0.257 0.757
0.761 0.257 0.757


Result set for ρ: 6.234 5.804 g/cm3, one per record in the order listed.
Result set for formation energy (no corrections): -2.44 -2.04 eV/atom, one per record in the order listed.